This record from the Alexandria database describes Be2TcBi after structural relaxation. The functional is PBE.

abc: 5.579 5.579 5.579
angles: 104.80 104.80 119.27
Atoms (fractional coordinates):
1 Be 0.083 0.125 0.458
2 Be 0.375 0.917 0.042
3 Be 0.667 0.625 0.542
4 Be 0.875 0.333 0.958
5 Tc 0.000 0.000 0.000
6 Tc 0.750 0.250 0.500
7 Bi 0.250 0.750 0.500
8 Bi 0.500 0.500 0.000

Calculated values
ΔH_f (0 K)   0.8624 eV/atom
Crystal system   tetragonal

---

This record from the Alexandria database describes FeBSb3 after structural relaxation. The functional is PBE.

abc: 4.867 4.867 4.867
angles: 90.00 90.00 90.00
Atoms (fractional coordinates):
1 Fe 0.000 0.000 0.000
2 B 0.500 0.500 0.500
3 Sb 0.000 0.000 0.500
4 Sb 0.000 0.500 0.000
5 Sb 0.500 0.000 0.000

Calculated values
Energy relative to the lowest polymorph listed for this composition   0.000 eV per atom
Formation energy from raw total energies   1.190 eV/atom
Crystal system   cubic

---

This record from the Alexandria database describes MgSe after structural relaxation. The functional is PBE.

abc: 4.335 4.335 23.428
angles: 90.00 90.00 120.00
Atoms (fractional coordinates):
1 Mg 0.000 0.000 0.106
2 Mg 0.000 0.000 0.894
3 Mg 0.333 0.667 0.206
4 Mg 0.333 0.667 0.455
5 Mg 0.667 0.333 0.545
6 Mg 0.667 0.333 0.794
7 Se 0.000 0.000 0.226
8 Se 0.000 0.000 0.774
9 Se 0.333 0.667 0.570
10 Se 0.333 0.667 0.914
11 Se 0.667 0.333 0.086
12 Se 0.667 0.333 0.430

Calculated values
Formation energy from raw total energies   -1.077 eV/atom
Crystal system   trigonal

---

This record from the Alexandria database describes Li3Ta after structural relaxation. The functional is PBE.

abc: 4.072 4.072 4.072
angles: 90.00 90.00 90.00
Atoms (fractional coordinates):
1 Li 0.000 0.000 0.500
2 Li 0.000 0.500 0.000
3 Li 0.500 0.000 0.000
4 Ta 0.500 0.500 0.500

Calculated values
Energy relative to the lowest polymorph listed for this composition   0.619 eV per atom
ΔH_f (0 K)   0.8273 eV/atom
Crystal system   cubic

---

This record from the Alexandria database describes Mn3RuC after structural relaxation. The functional is PBE.

abc: 3.766 3.766 3.766
angles: 90.00 90.00 90.00
Atoms (fractional coordinates):
1 Mn 0.000 0.000 0.500
2 Mn 0.000 0.500 0.000
3 Mn 0.500 0.000 0.000
4 Ru 0.500 0.500 0.500
5 C 0.000 0.000 0.000

Calculated values
Energy relative to the lowest polymorph listed for this composition   0.000 eV per atom
ΔH_f (0 K)   0.1152 eV/atom
Crystal system   cubic

---

This record from the Alexandria database describes InP3Pt after structural relaxation. The functional is PBE.

abc: 4.764 4.764 4.764
angles: 90.00 90.00 90.00
Atoms (fractional coordinates):
1 In 0.000 0.000 0.000
2 P 0.000 0.500 0.500
3 P 0.500 0.000 0.500
4 P 0.500 0.500 0.000
5 Pt 0.500 0.500 0.500

Calculated values
Energy relative to the lowest polymorph listed for this composition   0.000 eV per atom
ΔH_f (0 K)   0.6657 eV/atom
Crystal system   cubic

---

This record from the Alexandria database describes SiPbCl2 after structural relaxation. The functional is PBE.

abc: 3.520 4.628 5.871
angles: 90.00 90.00 90.00
Atoms (fractional coordinates):
1 Si 0.000 0.000 0.000
2 Pb 0.500 0.000 0.500
3 Cl 0.000 0.500 0.500
4 Cl 0.500 0.500 0.000

Calculated values
Energy relative to the lowest polymorph listed for this composition   0.242 eV per atom
Formation energy from raw total energies   -0.141 eV/atom
Crystal system   orthorhombic

---

This record from the Alexandria database describes TaV3Pb after structural relaxation. The functional is PBE.

abc: 4.822 4.822 4.822
angles: 90.00 90.00 90.00
Atoms (fractional coordinates):
1 Ta 0.000 0.000 0.000
2 V 0.000 0.500 0.500
3 V 0.500 0.000 0.500
4 V 0.500 0.500 0.000
5 Pb 0.500 0.500 0.500

Calculated values
Energy relative to the lowest polymorph listed for this composition   0.819 eV per atom
ΔH_f (0 K)   2.1364 eV/atom
Crystal system   cubic